# 1
This record from the Alexandria database describes Ti2NbB after structural relaxation. The functional is PBE.

```
data_Ti2NbB
_chemical_formula_sum 'Ti8 Nb4 B4'
_cell_length_a 3.291
_cell_length_b 9.501
_cell_length_c 7.330
_cell_angle_alpha 90.00
_cell_angle_beta 90.00
_cell_angle_gamma 90.00
_symmetry_space_group_name_H-M 'C m c m'
_symmetry_Int_Tables_number 63
_symmetry_space_group_name_Hall '-C 2c 2'
loop_
_atom_site_label
_atom_site_fract_x
_atom_site_fract_y
_atom_site_fract_z
Ti1 0.000 0.142 0.052
Nb1 0.000 0.428 0.250
B1 0.000 0.261 0.750
```

Summary:
Final energy ... -135.43 eV/cell



# 2
This record from the Alexandria database describes Ti2NbB4 after structural relaxation. The functional is PBE.

```
data_Ti2NbB4
_chemical_formula_sum 'Ti4 Nb2 B8'
_cell_length_a 3.074
_cell_length_b 3.294
_cell_length_c 13.864
_cell_angle_alpha 90.00
_cell_angle_beta 90.00
_cell_angle_gamma 90.00
_symmetry_space_group_name_H-M 'I m m m'
_symmetry_Int_Tables_number 71
_symmetry_space_group_name_Hall '-I 2 2'
loop_
_atom_site_label
_atom_site_fract_x
_atom_site_fract_y
_atom_site_fract_z
Ti1 0.000 0.000 0.187
Nb1 0.000 0.500 0.500
B1 0.000 0.000 0.366
B2 0.000 0.500 0.067
```

Summary:
Final energy ... -117.51 eV/cell



# 3
This record from the Alexandria database describes Ti2NbB after structural relaxation. The functional is PBE.

```
data_Ti2NbB
_chemical_formula_sum 'Ti8 Nb4 B4'
_cell_length_a 7.109
_cell_length_b 7.109
_cell_length_c 4.755
_cell_angle_alpha 90.00
_cell_angle_beta 90.00
_cell_angle_gamma 90.00
_symmetry_space_group_name_H-M 'I -4 2 d'
_symmetry_Int_Tables_number 122
_symmetry_space_group_name_Hall 'I -4 2bw'
loop_
_atom_site_label
_atom_site_fract_x
_atom_site_fract_y
_atom_site_fract_z
Ti1 0.183 0.250 0.125
Nb1 0.000 0.000 0.500
B1 0.000 0.000 0.000
```

Summary:
Final energy ... -127.82 eV/cell



# 4
This record from the Alexandria database describes Ti3NbB after structural relaxation. The functional is PBE.

```
data_Ti3NbB
_chemical_formula_sum 'Ti3 Nb1 B1'
_cell_length_a 4.700
_cell_length_b 4.700
_cell_length_c 4.700
_cell_angle_alpha 90.00
_cell_angle_beta 90.00
_cell_angle_gamma 90.00
_symmetry_space_group_name_H-M 'P m -3 m'
_symmetry_Int_Tables_number 221
_symmetry_space_group_name_Hall '-P 4 2 3'
loop_
_atom_site_label
_atom_site_fract_x
_atom_site_fract_y
_atom_site_fract_z
Ti1 0.000 0.000 0.500
Nb1 0.000 0.000 0.000
B1 0.500 0.500 0.500
```

Summary:
E above lowest polymorph ... 840 kJ/mol of formula units



# 5
This record from the Alexandria database describes Ti3NbB after structural relaxation. The functional is PBE.

```
data_Ti3NbB
_chemical_formula_sum 'Ti3 Nb1 B1'
_cell_length_a 4.313
_cell_length_b 4.313
_cell_length_c 4.313
_cell_angle_alpha 90.00
_cell_angle_beta 90.00
_cell_angle_gamma 90.00
_symmetry_space_group_name_H-M 'P m -3 m'
_symmetry_Int_Tables_number 221
_symmetry_space_group_name_Hall '-P 4 2 3'
loop_
_atom_site_label
_atom_site_fract_x
_atom_site_fract_y
_atom_site_fract_z
Ti1 0.000 0.000 0.500
Nb1 0.500 0.500 0.500
B1 0.000 0.000 0.000
```

Summary:
E above lowest polymorph ... 0 kJ/mol of formula units



# 6
This record from the Alexandria database describes TiNb2B2 after structural relaxation. The functional is PBE.

```
data_TiNb2B2
_chemical_formula_sum 'Ti2 Nb4 B4'
_cell_length_a 6.150
_cell_length_b 6.150
_cell_length_c 3.286
_cell_angle_alpha 90.00
_cell_angle_beta 90.00
_cell_angle_gamma 90.00
_symmetry_space_group_name_H-M 'P 4/m b m'
_symmetry_Int_Tables_number 127
_symmetry_space_group_name_Hall '-P 4 2ab'
loop_
_atom_site_label
_atom_site_fract_x
_atom_site_fract_y
_atom_site_fract_z
Ti1 0.000 0.000 0.000
Nb1 0.179 0.321 0.500
B1 0.105 0.605 0.000
```

Summary:
Final energy ... -89.49 eV/cell



# 7
This record from the Alexandria database describes TiNb3B4 after structural relaxation. The functional is PBE.

```
data_TiNb3B4
_chemical_formula_sum 'Ti2 Nb6 B8'
_cell_length_a 3.265
_cell_length_b 4.813
_cell_length_c 12.476
_cell_angle_alpha 90.00
_cell_angle_beta 90.00
_cell_angle_gamma 90.00
_symmetry_space_group_name_H-M 'I m m m'
_symmetry_Int_Tables_number 71
_symmetry_space_group_name_Hall '-I 2 2'
loop_
_atom_site_label
_atom_site_fract_x
_atom_site_fract_y
_atom_site_fract_z
Ti1 0.000 0.000 0.000
Nb1 0.000 0.000 0.500
Nb2 0.000 0.500 0.305
B1 0.000 0.322 0.132
```

Summary:
Final energy ... -136.89 eV/cell



# 8
This record from the Alexandria database describes NbTlB3 after structural relaxation. The functional is PBE.

```
data_NbTlB3
_chemical_formula_sum 'Nb1 Tl1 B3'
_cell_length_a 4.328
_cell_length_b 4.328
_cell_length_c 4.328
_cell_angle_alpha 90.00
_cell_angle_beta 90.00
_cell_angle_gamma 90.00
_symmetry_space_group_name_H-M 'P m -3 m'
_symmetry_Int_Tables_number 221
_symmetry_space_group_name_Hall '-P 4 2 3'
loop_
_atom_site_label
_atom_site_fract_x
_atom_site_fract_y
_atom_site_fract_z
Nb1 0.000 0.000 0.000
Tl1 0.500 0.500 0.500
B1 0.000 0.500 0.500
```

Summary:
E above lowest polymorph ... 588 kJ/mol of formula units



# 9
This record from the Alexandria database describes Nb2TlB after structural relaxation. The functional is PBE.

```
data_Nb2TlB
_chemical_formula_sum 'Nb8 Tl4 B4'
_cell_length_a 6.433
_cell_length_b 6.433
_cell_length_c 6.433
_cell_angle_alpha 90.00
_cell_angle_beta 90.00
_cell_angle_gamma 90.00
_symmetry_space_group_name_H-M 'F m -3 m'
_symmetry_Int_Tables_number 225
_symmetry_space_group_name_Hall '-F 4 2 3'
loop_
_atom_site_label
_atom_site_fract_x
_atom_site_fract_y
_atom_site_fract_z
Nb1 0.250 0.250 0.250
Tl1 0.000 0.000 0.000
B1 0.000 0.000 0.500
```

Summary:
E above lowest polymorph ... 166 kJ/mol of formula units



# 10
This record from the Alexandria database describes NbTl3B after structural relaxation. The functional is PBE.

```
data_NbTl3B
_chemical_formula_sum 'Nb1 Tl3 B1'
_cell_length_a 4.897
_cell_length_b 4.897
_cell_length_c 4.897
_cell_angle_alpha 90.00
_cell_angle_beta 90.00
_cell_angle_gamma 90.00
_symmetry_space_group_name_H-M 'P m -3 m'
_symmetry_Int_Tables_number 221
_symmetry_space_group_name_Hall '-P 4 2 3'
loop_
_atom_site_label
_atom_site_fract_x
_atom_site_fract_y
_atom_site_fract_z
Nb1 0.000 0.000 0.000
Tl1 0.000 0.500 0.500
B1 0.500 0.500 0.500
```

Summary:
E above lowest polymorph ... 0 kJ/mol of formula units



# 11
This record from the Alexandria database describes NbTlB2 after structural relaxation. The functional is PBE.

```
data_NbTlB2
_chemical_formula_sum 'Nb4 Tl4 B8'
_cell_length_a 6.021
_cell_length_b 6.021
_cell_length_c 6.986
_cell_angle_alpha 90.00
_cell_angle_beta 90.00
_cell_angle_gamma 90.00
_symmetry_space_group_name_H-M 'I -4 2 d'
_symmetry_Int_Tables_number 122
_symmetry_space_group_name_Hall 'I -4 2bw'
loop_
_atom_site_label
_atom_site_fract_x
_atom_site_fract_y
_atom_site_fract_z
Nb1 0.000 0.000 0.000
Tl1 0.000 0.000 0.500
B1 0.232 0.250 0.125
```

Summary:
E above lowest polymorph ... 0 kJ/mol of formula units



# 12
This record from the Alexandria database describes NbTl3B after structural relaxation. The functional is PBE.

```
data_NbTl3B
_chemical_formula_sum 'Nb1 Tl3 B1'
_cell_length_a 5.504
_cell_length_b 5.504
_cell_length_c 5.504
_cell_angle_alpha 90.00
_cell_angle_beta 90.00
_cell_angle_gamma 90.00
_symmetry_space_group_name_H-M 'P m -3 m'
_symmetry_Int_Tables_number 221
_symmetry_space_group_name_Hall '-P 4 2 3'
loop_
_atom_site_label
_atom_site_fract_x
_atom_site_fract_y
_atom_site_fract_z
Nb1 0.000 0.000 0.000
Tl1 0.000 0.000 0.500
B1 0.500 0.500 0.500
```

Summary:
E above lowest polymorph ... 126 kJ/mol of formula units



# 13
This record from the Alexandria database describes Nb2TlB after structural relaxation. The functional is PBE.

```
data_Nb2TlB
_chemical_formula_sum 'Nb8 Tl4 B4'
_cell_length_a 6.920
_cell_length_b 6.920
_cell_length_c 5.767
_cell_angle_alpha 90.00
_cell_angle_beta 90.00
_cell_angle_gamma 90.00
_symmetry_space_group_name_H-M 'I -4 2 d'
_symmetry_Int_Tables_number 122
_symmetry_space_group_name_Hall 'I -4 2bw'
loop_
_atom_site_label
_atom_site_fract_x
_atom_site_fract_y
_atom_site_fract_z
Nb1 0.193 0.250 0.125
Tl1 0.000 0.000 0.500
B1 0.000 0.000 0.000
```

Summary:
E above lowest polymorph ... 0 kJ/mol of formula units



# 14
This record from the Alexandria database describes NbTlB2 after structural relaxation. The functional is PBE.

```
data_NbTlB2
_chemical_formula_sum 'Nb4 Tl4 B8'
_cell_length_a 6.021
_cell_length_b 6.021
_cell_length_c 6.021
_cell_angle_alpha 90.00
_cell_angle_beta 90.00
_cell_angle_gamma 90.00
_symmetry_space_group_name_H-M 'F m -3 m'
_symmetry_Int_Tables_number 225
_symmetry_space_group_name_Hall '-F 4 2 3'
loop_
_atom_site_label
_atom_site_fract_x
_atom_site_fract_y
_atom_site_fract_z
Nb1 0.000 0.000 0.000
Tl1 0.000 0.000 0.500
B1 0.250 0.250 0.250
```

Summary:
E above lowest polymorph ... 136 kJ/mol of formula units



# 15
This record from the Alexandria database describes NbTlB3 after structural relaxation. The functional is PBE.

```
data_NbTlB3
_chemical_formula_sum 'Nb1 Tl1 B3'
_cell_length_a 4.436
_cell_length_b 4.436
_cell_length_c 4.436
_cell_angle_alpha 90.00
_cell_angle_beta 90.00
_cell_angle_gamma 90.00
_symmetry_space_group_name_H-M 'P m -3 m'
_symmetry_Int_Tables_number 221
_symmetry_space_group_name_Hall '-P 4 2 3'
loop_
_atom_site_label
_atom_site_fract_x
_atom_site_fract_y
_atom_site_fract_z
Nb1 0.000 0.000 0.000
Tl1 0.500 0.500 0.500
B1 0.000 0.000 0.500
```

Summary:
E above lowest polymorph ... 0 kJ/mol of formula units



# 16
This record from the Alexandria database describes NbTlB2W after structural relaxation. The functional is PBE.

```
data_NbTlB2W
_chemical_formula_sum 'Nb1 Tl1 B2 W1'
_cell_length_a 4.295
_cell_length_b 4.295
_cell_length_c 5.138
_cell_angle_alpha 90.00
_cell_angle_beta 90.00
_cell_angle_gamma 90.00
_symmetry_space_group_name_H-M 'P 4/m m m'
_symmetry_Int_Tables_number 123
_symmetry_space_group_name_Hall '-P 4 2'
loop_
_atom_site_label
_atom_site_fract_x
_atom_site_fract_y
_atom_site_fract_z
Nb1 0.000 0.000 0.000
Tl1 0.500 0.500 0.500
B1 0.000 0.500 0.000
W1 0.000 0.000 0.500
```

Summary:
Final energy ... -29.85 eV/cell



# 17
This record from the Alexandria database describes TmNbB2 after structural relaxation. The functional is PBE.

```
data_TmNbB2
_chemical_formula_sum 'Tm3 Nb3 B6'
_cell_length_a 3.4237
_cell_length_b 3.4237
_cell_length_c 17.3669
_cell_angle_alpha 90.00
_cell_angle_beta 90.00
_cell_angle_gamma 120.00
_symmetry_space_group_name_H-M 'R -3 m'
_symmetry_Int_Tables_number 166
_symmetry_space_group_name_Hall '-R 3 2"'
loop_
_atom_site_label
_atom_site_fract_x
_atom_site_fract_y
_atom_site_fract_z
Tm1 0.0000 0.0000 0.0000
Nb1 0.0000 0.0000 0.5000
B1 0.0000 0.0000 0.2369
```

Summary:
Final energy ... -86.03 eV/cell



# 18
This record from the Alexandria database describes TmNbB3 after structural relaxation. The functional is PBE.

```
data_TmNbB3
_chemical_formula_sum 'Tm4 Nb4 B12'
_cell_length_a 3.562
_cell_length_b 20.140
_cell_length_c 3.198
_cell_angle_alpha 90.00
_cell_angle_beta 90.00
_cell_angle_gamma 90.00
_symmetry_space_group_name_H-M 'C m c m'
_symmetry_Int_Tables_number 63
_symmetry_space_group_name_Hall '-C 2c 2'
loop_
_atom_site_label
_atom_site_fract_x
_atom_site_fract_y
_atom_site_fract_z
Tm1 0.000 0.072 0.250
Nb1 0.000 0.205 0.750
B1 0.000 0.332 0.750
B2 0.000 0.381 0.250
B3 0.000 0.478 0.250
```

Summary:
Final energy ... -151.38 eV/cell



# 19
This record from the Alexandria database describes TmNb2B6 after structural relaxation. The functional is PBE.

```
data_TmNb2B6
_chemical_formula_sum 'Tm2 Nb4 B12'
_cell_length_a 3.199
_cell_length_b 7.304
_cell_length_c 8.502
_cell_angle_alpha 90.00
_cell_angle_beta 90.00
_cell_angle_gamma 90.00
_symmetry_space_group_name_H-M 'I m m m'
_symmetry_Int_Tables_number 71
_symmetry_space_group_name_Hall '-I 2 2'
loop_
_atom_site_label
_atom_site_fract_x
_atom_site_fract_y
_atom_site_fract_z
Tm1 0.000 0.000 0.000
Nb1 0.000 0.500 0.160
B1 0.000 0.161 0.500
B2 0.000 0.237 0.304
```

Summary:
E above lowest polymorph ... 210 kJ/mol of formula units



# 20
This record from the Alexandria database describes Tm2NbB6 after structural relaxation. The functional is PBE.

```
data_Tm2NbB6
_chemical_formula_sum 'Tm4 Nb2 B12'
_cell_length_a 3.052
_cell_length_b 7.905
_cell_length_c 8.793
_cell_angle_alpha 90.00
_cell_angle_beta 90.00
_cell_angle_gamma 90.00
_symmetry_space_group_name_H-M 'I m m m'
_symmetry_Int_Tables_number 71
_symmetry_space_group_name_Hall '-I 2 2'
loop_
_atom_site_label
_atom_site_fract_x
_atom_site_fract_y
_atom_site_fract_z
Tm1 0.000 0.000 0.148
Nb1 0.000 0.500 0.000
B1 0.000 0.245 0.307
B2 0.000 0.267 0.500
```

Summary:
Final energy ... -116.65 eV/cell



Table of total magnetic moment (μB per formula unit), in record order: 0.00, 0.00, 0.00, 0.75, 1.50, 0.00, 0.00, 0.00, 0.00, 3.11, 0.00, 0.00, 0.00, 0.00, 0.00, 0.00, 0.00, 0.00, 0.00, 0.00